(1)
# InGe2TeS

InGe2TeS at its PBEsol-relaxed geometry (SCAN, Alexandria).

Unit cell a=5.2030 b=5.2030 c=5.4359 alpha=90.00 beta=90.00 gamma=90.00
Atoms (fractional coordinates):
In (0.0000, 0.0000, 0.0000)
Ge (0.0000, 0.5000, 0.0000)
Ge (0.5000, 0.0000, 0.0000)
Te (0.0000, 0.0000, 0.5000)
S (0.5000, 0.5000, 0.5000)

Calculated values
As for the crystal system: tetragonal. The symmetry is P4/mmm, No. 123. The uncorrected formation energy is 1071 meV/atom. The total DFT energy (no corrections) is -22.617 eV/atom.



(2)
# In2Ge2Sb

In2Ge2Sb at its PBEsol-relaxed geometry (SCAN, Alexandria).

Unit cell a=7.5451 b=7.5451 c=7.5451 alpha=148.02 beta=148.02 gamma=45.86
Atoms (fractional coordinates):
In (0.2500, 0.7500, 0.5000)
In (0.7500, 0.2500, 0.5000)
Ge (0.0922, 0.0922, 0.0000)
Ge (0.9078, 0.9078, 0.0000)
Sb (0.5000, 0.5000, 0.0000)

Calculated values
As for the crystal system: tetragonal. The symmetry is I4/mmm, No. 139. The uncorrected formation energy is 297 meV/atom. The total DFT energy (no corrections) is -28.145 eV/atom.



(3)
# InGeSbTe2

InGeSbTe2 at its PBEsol-relaxed geometry (SCAN, Alexandria).

Unit cell a=5.5292 b=5.5292 c=5.4593 alpha=90.00 beta=90.00 gamma=90.00
Atoms (fractional coordinates):
In (0.0000, 0.0000, 0.0000)
Ge (0.5000, 0.5000, 0.5000)
Sb (0.0000, 0.0000, 0.5000)
Te (0.0000, 0.5000, 0.0000)
Te (0.5000, 0.0000, 0.0000)

Calculated values
As for the crystal system: tetragonal. The symmetry is P4/mmm, No. 123. The uncorrected formation energy is 820 meV/atom. The total DFT energy (no corrections) is -32.027 eV/atom.



(4)
# InGe2SbTe5

InGe2SbTe5 at its PBEsol-relaxed geometry (SCAN, Alexandria).

Unit cell a=4.1891 b=4.1891 c=16.9219 alpha=90.00 beta=90.00 gamma=120.00
Atoms (fractional coordinates):
In (0.0000, 0.0000, 0.0000)
Ge (0.3333, 0.6667, 0.4564)
Ge (0.3333, 0.6667, 0.7839)
Sb (0.6667, 0.3333, 0.2311)
Te (0.0000, 0.0000, 0.3364)
Te (0.0000, 0.0000, 0.6992)
Te (0.3333, 0.6667, 0.1140)
Te (0.6667, 0.3333, 0.5406)
Te (0.6667, 0.3333, 0.9045)

Calculated values
As for the crystal system: trigonal. The symmetry is P3m1, No. 156. The uncorrected formation energy is -101 meV/atom. The total DFT energy (no corrections) is -32.887 eV/atom.



(5)
# In2GeSe

In2GeSe at its PBEsol-relaxed geometry (SCAN, Alexandria).

Unit cell a=7.5877 b=7.5877 c=7.5877 alpha=132.40 beta=132.40 gamma=69.60
Atoms (fractional coordinates):
In (0.1046, 0.6250, 0.9796)
In (0.3750, 0.3546, 0.4796)
In (0.6454, 0.1250, 0.0204)
In (0.8750, 0.8954, 0.5204)
Ge (0.0000, 0.0000, 0.0000)
Ge (0.7500, 0.2500, 0.5000)
Se (0.2500, 0.7500, 0.5000)
Se (0.5000, 0.5000, 0.0000)

Calculated values
As for the crystal system: tetragonal. The symmetry is I-42d, No. 122. The uncorrected formation energy is -277 meV/atom. The total DFT energy (no corrections) is -26.761 eV/atom.



(6)
# InGeSe2

InGeSe2 at its PBEsol-relaxed geometry (SCAN, Alexandria).

Unit cell a=9.2324 b=9.2324 c=9.2324 alpha=22.44 beta=22.44 gamma=22.44
Atoms (fractional coordinates):
In (0.0000, 0.0000, 0.0000)
Ge (0.5000, 0.5000, 0.5000)
Se (0.1104, 0.1104, 0.1104)
Se (0.8896, 0.8896, 0.8896)

Calculated values
As for the crystal system: trigonal. The symmetry is R-3m, No. 166. The uncorrected formation energy is -98 meV/atom. The total DFT energy (no corrections) is -23.256 eV/atom.